Record 1
This record from the Alexandria database describes a relaxed La12Pm7Sc crystal. The functional is PBE.

Unit cell a=9.055 b=9.055 c=9.055 alpha=99.66 beta=99.66 gamma=99.66
Sites, in units of the cell vectors:
1 La 0.759 0.241 0.501
2 La 0.759 0.499 0.241
3 La 0.352 0.088 0.351
4 La 0.912 0.649 0.648
5 La 0.499 0.241 0.759
6 La 0.649 0.648 0.912
7 La 0.351 0.352 0.088
8 La 0.501 0.759 0.241
9 La 0.088 0.351 0.352
10 La 0.648 0.912 0.649
11 La 0.241 0.501 0.759
12 La 0.241 0.759 0.499
13 Pm 0.088 0.668 0.088
14 Pm 0.332 0.912 0.912
15 Pm 0.912 0.912 0.332
16 Pm 0.500 0.500 0.500
17 Pm 0.088 0.088 0.668
18 Pm 0.668 0.088 0.088
19 Pm 0.912 0.332 0.912
20 Sc 0.000 0.000 0.000

Calculated values
For the density of states at the Fermi level, the calculation gives 1.391 states/eV per atom. The value obtained for the formation energy from the elements is 0.082 eV per atom. Its volume is 707 Å³ per cell. Its total DFT energy (no corrections) is -97.1 eV/cell. As for the symmetry: R-3.

=====

Record 2
This record from the Alexandria database describes a relaxed Cs3Cl3F crystal. The functional is PBE.

Unit cell a=8.658 b=8.658 c=8.442 alpha=97.79 beta=97.79 gamma=115.44
Sites, in units of the cell vectors:
1 Cs 0.151 0.151 0.815
2 Cs 0.423 0.065 0.250
3 Cs 0.065 0.423 0.250
4 Cs 0.577 0.935 0.750
5 Cs 0.935 0.577 0.750
6 Cs 0.849 0.849 0.185
7 Cl 0.478 0.478 0.611
8 Cl 0.171 0.829 0.500
9 Cl 0.829 0.171 0.500
10 Cl 0.336 0.664 0.000
11 Cl 0.664 0.336 0.000
12 Cl 0.522 0.522 0.389
13 F 0.149 0.149 0.155
14 F 0.851 0.851 0.845

Calculated values
The uncorrected formation energy comes out at -1.828 eV per atom. Its volume is 553 Å³ per cell. Its total DFT energy (no corrections) is -45.5 eV/cell. As for the symmetry: C2/m.

=====

Record 3
This record from the Alexandria database describes a relaxed SrMnTc4 crystal. The functional is PBE.

Unit cell a=5.335 b=5.335 c=5.335 alpha=60.00 beta=60.00 gamma=60.00
Sites, in units of the cell vectors:
1 Sr 0.000 0.000 0.000
2 Mn 0.750 0.750 0.750
3 Tc 0.873 0.376 0.376
4 Tc 0.376 0.376 0.873
5 Tc 0.376 0.873 0.376
6 Tc 0.376 0.376 0.376

Calculated values
For the density of states at the Fermi level, the calculation gives 1.099 states/eV per atom. The value obtained for the formation energy from the elements is 0.577 eV per atom. Its volume is 107 Å³ per cell. Its total DFT energy (no corrections) is -48.9 eV/cell. As for the symmetry: F-43m.

=====

Record 4
This record from the Alexandria database describes a relaxed CaAs2 crystal. The functional is PBE.

Unit cell a=4.443 b=4.985 c=8.316 alpha=82.37 beta=74.51 gamma=63.54
Sites, in units of the cell vectors:
1 Ca 0.119 0.750 0.250
2 Ca 0.881 0.250 0.750
3 As 0.757 0.748 0.977
4 As 0.482 0.752 0.523
5 As 0.518 0.248 0.477
6 As 0.243 0.252 0.023

Calculated values
For the density of states at the Fermi level, the calculation gives 0.482 states/eV per atom. The value obtained for the formation energy from the elements is -0.500 eV per atom. Its volume is 159 Å³ per cell. Its total DFT energy (no corrections) is -25.6 eV/cell. As for the symmetry: C2/c.

=====

Record 5
This record from the Alexandria database describes a relaxed Np2TlGeO8 crystal. The functional is PBE.

Unit cell a=4.901 b=4.901 c=6.904 alpha=90.00 beta=90.00 gamma=89.05
Sites, in units of the cell vectors:
1 Np 0.500 0.500 0.761
2 Np 0.500 0.500 0.239
3 Tl 0.000 0.000 0.500
4 Ge 0.000 0.000 0.000
5 O 0.193 0.807 0.206
6 O 0.712 0.712 0.000
7 O 0.807 0.193 0.206
8 O 0.807 0.193 0.794
9 O 0.288 0.288 0.000
10 O 0.193 0.807 0.794
11 O 0.679 0.679 0.500
12 O 0.321 0.321 0.500

Calculated values
For the density of states at the Fermi level, the calculation gives 0.670 states/eV per atom. The uncorrected formation energy comes out at -2.079 eV per atom. Its volume is 166 Å³ per cell. Its total DFT energy (no corrections) is -97.5 eV/cell. As for the symmetry: Cmmm.

=====

Record 6
This record from the Alexandria database describes a relaxed AgOs3 crystal. The functional is PBE.

Unit cell a=5.176 b=5.176 c=5.176 alpha=117.00 beta=117.00 gamma=117.00
Sites, in units of the cell vectors:
1 Os 0.000 0.500 0.500
2 Os 0.500 0.000 0.500
3 Os 0.500 0.500 0.000
4 Ag 0.000 0.000 0.000

Calculated values
For the density of states at the Fermi level, the calculation gives 1.925 states/eV per atom. The value obtained for the formation energy from the elements is 1.063 eV per atom. Its volume is 61 Å³ per cell. Its total DFT energy (no corrections) is -32.3 eV/cell. As for the symmetry: R-3m.

=====

Record 7
This record from the Alexandria database describes a relaxed Tb3Eu crystal. The functional is PBE.

Unit cell a=6.265 b=6.265 c=6.265 alpha=131.91 beta=131.91 gamma=70.36
Sites, in units of the cell vectors:
1 Eu 0.000 0.000 0.000
2 Tb 0.750 0.250 0.500
3 Tb 0.250 0.750 0.500
4 Tb 0.500 0.500 0.000

Calculated values
For the density of states at the Fermi level, the calculation gives 1.583 states/eV per atom. The value obtained for the formation energy from the elements is 0.083 eV per atom. Its volume is 133 Å³ per cell. Its total DFT energy (no corrections) is -23.8 eV/cell. As for the symmetry: I4/mmm.

=====

Record 8
This record from the Alexandria database describes a relaxed Pr2PdRhO6 crystal. The functional is PBE.

Unit cell a=5.539 b=6.092 c=7.711 alpha=90.00 beta=90.16 gamma=90.00
Sites, in units of the cell vectors:
1 Pr 0.027 0.918 0.251
2 Pr 0.527 0.582 0.751
3 Pr 0.973 0.082 0.749
4 Pr 0.473 0.418 0.249
5 Pd 0.500 0.000 0.500
6 Pd 0.000 0.500 0.000
7 Rh 0.500 0.000 0.000
8 Rh 0.000 0.500 0.500
9 O 0.329 0.703 0.056
10 O 0.829 0.797 0.556
11 O 0.671 0.297 0.944
12 O 0.171 0.203 0.444
13 O 0.311 0.682 0.449
14 O 0.811 0.818 0.949
15 O 0.689 0.318 0.551
16 O 0.189 0.182 0.051
17 O 0.881 0.541 0.250
18 O 0.381 0.959 0.750
19 O 0.119 0.459 0.750
20 O 0.619 0.041 0.250

Calculated values
For the density of states at the Fermi level, the calculation gives 0.098 states/eV per atom. The uncorrected formation energy comes out at -1.951 eV per atom. Its volume is 260 Å³ per cell. Its total DFT energy (no corrections) is -142.7 eV/cell. As for the symmetry: P2_1/c.

=====

Record 9
This record from the Alexandria database describes a relaxed Ce2Ho2Ge3 crystal. The functional is PBE.

Unit cell a=4.293 b=7.105 c=7.082 alpha=100.06 beta=90.00 gamma=107.56
Sites, in units of the cell vectors:
1 Ce 0.623 0.245 0.866
2 Ce 0.377 0.755 0.134
3 Ho 0.867 0.735 0.632
4 Ho 0.133 0.265 0.368
5 Ge 0.000 0.000 0.000
6 Ge 0.751 0.502 0.250
7 Ge 0.249 0.498 0.750

Calculated values
For the density of states at the Fermi level, the calculation gives 1.198 states/eV per atom. The value obtained for the formation energy from the elements is -0.541 eV per atom. Its volume is 202 Å³ per cell. Its total DFT energy (no corrections) is -38.7 eV/cell. As for the symmetry: C2/m.

=====

Record 10
This record from the Alexandria database describes a relaxed Na3La2ErSe6 crystal. The functional is PBE.

Unit cell a=7.438 b=7.438 c=7.411 alpha=99.64 beta=99.64 gamma=120.02
Sites, in units of the cell vectors:
1 Na 0.167 0.833 0.500
2 Na 0.833 0.167 0.500
3 Na 0.500 0.500 0.500
4 La 0.333 0.667 0.000
5 La 0.667 0.333 0.000
6 Er 0.000 0.000 0.000
7 Se 0.922 0.602 0.765
8 Se 0.758 0.758 0.232
9 Se 0.078 0.398 0.235
10 Se 0.602 0.922 0.765
11 Se 0.242 0.242 0.768
12 Se 0.398 0.078 0.235

Calculated values
For the density of states at the Fermi level, the calculation gives 0.000 states/eV per atom. The uncorrected formation energy comes out at -1.732 eV per atom. Its volume is 335 Å³ per cell. Its total DFT energy (no corrections) is -60.1 eV/cell. As for the symmetry: C2/m.

=====

Record 11
This record from the Alexandria database describes a relaxed RbSiAgSe3 crystal. The functional is PBE.

Unit cell a=7.508 b=7.508 c=8.893 alpha=71.05 beta=71.05 gamma=60.36
Sites, in units of the cell vectors:
1 Rb 0.687 0.687 0.772
2 Rb 0.313 0.313 0.228
3 Si 0.026 0.026 0.747
4 Si 0.974 0.974 0.253
5 Ag 0.248 0.752 0.500
6 Ag 0.752 0.248 0.500
7 Se 0.206 0.206 0.668
8 Se 0.176 0.676 0.805
9 Se 0.676 0.176 0.805
10 Se 0.324 0.824 0.195
11 Se 0.824 0.324 0.195
12 Se 0.794 0.794 0.332

Calculated values
The uncorrected formation energy comes out at -0.529 eV per atom. Its volume is 404 Å³ per cell. Its total DFT energy (no corrections) is -45.7 eV/cell. As for the symmetry: C2/m.

=====

Record 12
This record from the Alexandria database describes a relaxed CsNaW2S crystal. The functional is PBE.

Unit cell a=5.065 b=5.563 c=5.065 alpha=90.00 beta=90.00 gamma=90.00
Sites, in units of the cell vectors:
1 Cs 0.000 0.000 0.000
2 Na 0.000 0.500 0.000
3 S 0.500 0.500 0.500
4 W 0.000 0.000 0.500
5 W 0.500 0.000 0.000

Calculated values
For the density of states at the Fermi level, the calculation gives 0.830 states/eV per atom. The uncorrected formation energy comes out at 3.245 eV per atom. Its volume is 143 Å³ per cell. Its total DFT energy (no corrections) is -16.0 eV/cell. As for the symmetry: P4/mmm.